1.
This record from Alexandria describes Ca2NiSe after structural relaxation. The functional is GGA-PBEsol.

Computed properties:
* raw total energy: -0.160 Ha/atom
* calculated volume: 84.6 Å³/cell
* energy relative to the elements, uncorrected: -780 meV per atom

Structure (POSCAR):
```
Ca2NiSe
1.0
3.5145 0.0000 0.0000
0.0000 3.5145 0.0000
0.0000 0.0000 6.8500
Ca Ni Se
2 1 1
Cartesian
0.0000 0.0000 1.7157
0.0000 0.0000 5.1343
1.7572 1.7572 0.0000
1.7572 1.7572 3.4250
```

=====

2.
This record from Alexandria describes Al4SiPd after structural relaxation. The functional is GGA-PBEsol.

Computed properties:
* raw total energy: -0.183 Ha/atom
* calculated volume: 104.6 Å³/cell
* energy relative to the elements, uncorrected: -307 meV per atom

Structure (POSCAR):
```
Al4SiPd
1.0
2.1101 1.2183 6.7802
-2.1101 1.2183 6.7802
0.0000 -2.4365 6.7802
Al Si Pd
4 1 1
Cartesian
0.0000 0.0000 2.4604
0.0000 0.0000 7.5100
0.0000 0.0000 12.8305
0.0000 0.0000 17.8802
0.0000 0.0000 10.1703
0.0000 0.0000 0.0000
```